No. 1
TlCuB | GGA-PBE | relaxed

Unit cell a=3.0816 b=3.9626 c=9.6697 alpha=82.89 beta=83.70 gamma=67.09
Element x y z (fractional)
Tl 0.4673 0.5862 0.2902
Tl 0.0107 0.0575 0.5878
Cu 0.2572 0.4365 0.7808
Cu 0.9629 0.8324 0.0081
B 0.6925 0.3997 0.9735
B 0.2512 0.2688 0.9940

Results
Space-group type ... P1
ΔH_f (0 K) ... 28 kJ per mole of atoms
Total magnetic moment ... 0.00 μB per cell
Density of states at the Fermi level ... 0.980 states/eV/f.u.
Crystal system ... triclinic

No. 2
TlCu2B | GGA-PBE | relaxed

Unit cell a=4.3408 b=4.3408 c=4.3408 alpha=60.00 beta=60.00 gamma=60.00
Element x y z (fractional)
Cu 0.7500 0.7500 0.7500
Cu 0.2500 0.2500 0.2500
B 0.0000 0.0000 0.0000
Tl 0.5000 0.5000 0.5000

Results
Space-group type ... Fm-3m
ΔH_f (0 K) ... 98 kJ per mole of atoms
Total magnetic moment ... 0.00 μB per cell
Density of states at the Fermi level ... 1.463 states/eV/f.u.
Crystal system ... cubic

No. 3
Y2TlCuB | GGA-PBE | relaxed

Unit cell a=5.1836 b=5.1836 c=3.9835 alpha=90.00 beta=90.00 gamma=90.00
Element x y z (fractional)
Cu 0.0000 0.0000 0.5000
Y 0.0000 0.5000 0.0000
Y 0.5000 0.0000 0.0000
Tl 0.5000 0.5000 0.5000
B 0.0000 0.0000 0.0000

Results
Space-group type ... P4/mmm
ΔH_f (0 K) ... -16 kJ per mole of atoms
Total magnetic moment ... 0.00 μB per cell
Density of states at the Fermi level ... 4.788 states/eV/f.u.
Crystal system ... tetragonal

No. 4
Y2TlCuB | GGA-PBE | relaxed

Unit cell a=5.6667 b=4.7197 c=5.6667 alpha=90.00 beta=90.00 gamma=90.00
Element x y z (fractional)
Y 0.0000 0.0000 0.5000
Y 0.5000 0.0000 0.0000
B 0.5000 0.5000 0.5000
Tl 0.0000 0.0000 0.0000
Cu 0.0000 0.5000 0.0000

Results
Space-group type ... P4/mmm
ΔH_f (0 K) ... 124 kJ per mole of atoms
Total magnetic moment ... 0.00 μB per cell
Density of states at the Fermi level ... 5.917 states/eV/f.u.
Crystal system ... tetragonal

No. 5
TmCuB4 | GGA-PBE | relaxed

Unit cell a=3.4864 b=5.8850 c=11.4483 alpha=90.00 beta=90.00 gamma=90.00
Element x y z (fractional)
B 0.5000 0.3637 0.4681
B 0.5000 0.2875 0.3139
B 0.5000 0.2125 0.8139
B 0.5000 0.3872 0.0484
B 0.5000 0.7125 0.6861
B 0.5000 0.6363 0.5319
B 0.5000 0.1363 0.9681
B 0.5000 0.8872 0.4516
B 0.5000 0.5252 0.8065
B 0.5000 0.6128 0.9516
B 0.5000 0.7875 0.1861
B 0.5000 0.9748 0.3065
B 0.5000 0.0252 0.6935
B 0.5000 0.4748 0.1935
B 0.5000 0.8637 0.0319
B 0.5000 0.1128 0.5484
Cu 0.0000 0.1352 0.4109
Cu 0.0000 0.6352 0.0891
Cu 0.0000 0.3648 0.9109
Cu 0.0000 0.8648 0.5891
Tm 0.0000 0.6267 0.3494
Tm 0.0000 0.8733 0.8494
Tm 0.0000 0.1267 0.1506
Tm 0.0000 0.3733 0.6506

Results
Space-group type ... Pbam
ΔH_f (0 K) ... -37 kJ per mole of atoms
Total magnetic moment ... 0.00 μB per cell
Density of states at the Fermi level ... 2.719 states/eV/f.u.
Crystal system ... orthorhombic

No. 6
VCuB2 | GGA-PBE | relaxed

Unit cell a=3.7185 b=3.7185 c=3.7185 alpha=60.00 beta=60.00 gamma=60.00
Each line ends with the local moment (μB).
Element x y z (fractional)
B 0.2500 0.2500 0.2500  0.01
B 0.7500 0.7500 0.7500  0.01
Cu 0.5000 0.5000 0.5000  0.00
V 0.0000 0.0000 0.0000  0.33

Results
Space-group type ... Fm-3m
ΔH_f (0 K) ... 42 kJ per mole of atoms
Total magnetic moment ... 0.38 μB per cell
Density of states at the Fermi level ... 3.801 states/eV/f.u.
Crystal system ... cubic

No. 7
V2CuB2 | GGA-PBE | relaxed

Unit cell a=5.5730 b=5.5730 c=3.1062 alpha=90.00 beta=90.00 gamma=90.00
Element x y z (fractional)
V 0.6785 0.8215 0.5000
V 0.3215 0.1785 0.5000
V 0.8215 0.3215 0.5000
V 0.1785 0.6785 0.5000
B 0.8901 0.6099 0.0000
B 0.6099 0.1099 0.0000
B 0.1099 0.3901 0.0000
B 0.3901 0.8901 0.0000
Cu 0.0000 0.0000 0.0000
Cu 0.5000 0.5000 0.0000

Results
Space-group type ... P4/mbm
ΔH_f (0 K) ... -44 kJ per mole of atoms
Total magnetic moment ... 0.00 μB per cell
Density of states at the Fermi level ... 1.954 states/eV/f.u.
Crystal system ... tetragonal

No. 8
V2CuB | GGA-PBE | relaxed

Unit cell a=2.8575 b=2.8575 c=7.6875 alpha=79.29 beta=79.29 gamma=60.00
Element x y z (fractional)
Cu 0.0000 0.0000 0.0000
V 0.1133 0.1133 0.6601
V 0.8867 0.8867 0.3399
B 0.5000 0.5000 0.5000

Results
Space-group type ... R-3m
ΔH_f (0 K) ... 28 kJ per mole of atoms
Total magnetic moment ... 0.00 μB per cell
Density of states at the Fermi level ... 3.881 states/eV/f.u.
Crystal system ... trigonal

No. 9
VCuB2 | GGA-PBE | relaxed

Unit cell a=3.5161 b=3.5161 c=7.4397 alpha=76.33 beta=76.33 gamma=90.00
Each line ends with the local moment (μB).
Element x y z (fractional)
V 0.2500 0.7500 0.5000  1.46
V 0.5000 0.5000 0.0000  1.46
B 0.8752 0.1250 0.2500  -0.02
B 0.3750 0.1248 0.7500  -0.02
B 0.8750 0.1252 0.7500  -0.02
B 0.8748 0.6250 0.2500  -0.02
Cu 0.7500 0.2500 0.5000  0.05
Cu 0.0000 0.0000 0.0000  0.05

Results
Space-group type ... I4_1/amd
ΔH_f (0 K) ... 51 kJ per mole of atoms
Total magnetic moment ... 3.29 μB per cell
Density of states at the Fermi level ... 2.696 states/eV/f.u.
Crystal system ... tetragonal

No. 10
VCu2B | GGA-PBE | relaxed

Unit cell a=3.2240 b=3.2240 c=9.1724 alpha=79.88 beta=79.88 gamma=90.00
Element x y z (fractional)
B 0.2500 0.7500 0.5000
B 0.5000 0.5000 0.0000
Cu 0.8750 0.8659 0.7500
Cu 0.3750 0.3841 0.7500
Cu 0.6159 0.1250 0.2500
Cu 0.1341 0.6250 0.2500
V 0.7500 0.2500 0.5000
V 0.0000 0.0000 0.0000

Results
Space-group type ... I-42d
ΔH_f (0 K) ... 40 kJ per mole of atoms
Total magnetic moment ... 0.00 μB per cell
Density of states at the Fermi level ... 3.188 states/eV/f.u.
Crystal system ... tetragonal

No. 11
V3CuB | GGA-PBE | relaxed

Unit cell a=4.0123 b=4.0123 c=4.0123 alpha=90.00 beta=90.00 gamma=90.00
Each line ends with the local moment (μB).
Element x y z (fractional)
B 0.0000 0.0000 0.0000  -0.02
V 0.0000 0.5000 0.0000  0.30
V 0.5000 0.0000 0.0000  0.30
V 0.0000 0.0000 0.5000  0.30
Cu 0.5000 0.5000 0.5000  0.04

Results
Space-group type ... Pm-3m
ΔH_f (0 K) ... 13 kJ per mole of atoms
Total magnetic moment ... 1.00 μB per cell
Density of states at the Fermi level ... 4.320 states/eV/f.u.
Crystal system ... cubic

No. 12
V3CuB | GGA-PBE | relaxed

Unit cell a=4.3004 b=4.3004 c=4.3004 alpha=90.00 beta=90.00 gamma=90.00
Each line ends with the local moment (μB).
Element x y z (fractional)
V 0.0000 0.0000 0.5000  0.34
V 0.0000 0.5000 0.0000  0.34
V 0.5000 0.0000 0.0000  0.34
B 0.5000 0.5000 0.5000  -0.04
Cu 0.0000 0.0000 0.0000  0.07

Results
Space-group type ... Pm-3m
ΔH_f (0 K) ... 171 kJ per mole of atoms
Total magnetic moment ... 1.14 μB per cell
Density of states at the Fermi level ... 6.450 states/eV/f.u.
Crystal system ... cubic

No. 13
V2CuB | GGA-PBE | relaxed

Unit cell a=6.3183 b=6.3183 c=5.0474 alpha=51.25 beta=51.25 gamma=90.00
Element x y z (fractional)
Cu 0.0000 0.0000 0.0000
Cu 0.7500 0.2500 0.5000
V 0.8750 0.8371 0.7500
V 0.1629 0.6250 0.2500
V 0.5871 0.1250 0.2500
V 0.3750 0.4129 0.7500
B 0.2500 0.7500 0.5000
B 0.5000 0.5000 0.0000

Results
Space-group type ... I-42d
ΔH_f (0 K) ... 30 kJ per mole of atoms
Total magnetic moment ... 0.00 μB per cell
Density of states at the Fermi level ... 3.034 states/eV/f.u.
Crystal system ... tetragonal

No. 14
CuBW | GGA-PBE | relaxed

Unit cell a=3.0678 b=3.1339 c=7.1425 alpha=77.33 beta=90.00 gamma=90.00
Element x y z (fractional)
B 0.2500 0.4630 0.0740
B 0.7500 0.5370 0.9260
Cu 0.2500 0.2928 0.4144
Cu 0.7500 0.7072 0.5856
W 0.2500 0.0866 0.8268
W 0.7500 0.9134 0.1732

Results
Space-group type ... Cmcm
ΔH_f (0 K) ... -9 kJ per mole of atoms
Total magnetic moment ... 0.00 μB per cell
Density of states at the Fermi level ... 1.186 states/eV/f.u.
Crystal system ... orthorhombic

No. 15
CuB2W | GGA-PBE | relaxed

Unit cell a=3.6218 b=3.6218 c=7.2481 alpha=75.53 beta=75.53 gamma=90.00
Element x y z (fractional)
Cu 0.5000 0.5000 0.0000
Cu 0.2500 0.7500 0.5000
W 0.7500 0.2500 0.5000
W 0.0000 0.0000 0.0000
B 0.3750 0.4968 0.7500
B 0.8750 0.7532 0.7500
B 0.5032 0.1250 0.2500
B 0.2468 0.6250 0.2500

Results
Space-group type ... I-42d
ΔH_f (0 K) ... 79 kJ per mole of atoms
Total magnetic moment ... 0.00 μB per cell
Density of states at the Fermi level ... 2.676 states/eV/f.u.
Crystal system ... tetragonal

No. 16
CuB2W | GGA-PBE | relaxed

Unit cell a=3.8433 b=3.8433 c=3.8433 alpha=60.00 beta=60.00 gamma=60.00
Element x y z (fractional)
Cu 0.0000 0.0000 0.0000
W 0.5000 0.5000 0.5000
B 0.7500 0.7500 0.7500
B 0.2500 0.2500 0.2500

Results
Space-group type ... Fm-3m
ΔH_f (0 K) ... 65 kJ per mole of atoms
Total magnetic moment ... 0.00 μB per cell
Density of states at the Fermi level ... 2.069 states/eV/f.u.
Crystal system ... cubic

No. 17
CuBW2 | GGA-PBE | relaxed

Unit cell a=3.6821 b=3.6821 c=8.9240 alpha=78.09 beta=78.09 gamma=90.00
Element x y z (fractional)
B 0.5000 0.5000 0.0000
B 0.2500 0.7500 0.5000
W 0.3750 0.3917 0.7500
W 0.1417 0.6250 0.2500
W 0.8750 0.8583 0.7500
W 0.6083 0.1250 0.2500
Cu 0.7500 0.2500 0.5000
Cu 0.0000 0.0000 0.0000

Results
Space-group type ... I-42d
ΔH_f (0 K) ... 107 kJ per mole of atoms
Total magnetic moment ... 0.00 μB per cell
Density of states at the Fermi level ... 1.885 states/eV/f.u.
Crystal system ... tetragonal

No. 18
Cu2BW | GGA-PBE | relaxed

Unit cell a=6.5437 b=6.5437 c=5.1478 alpha=50.54 beta=50.54 gamma=90.00
Element x y z (fractional)
Cu 0.3750 0.4509 0.7500
Cu 0.5491 0.1250 0.2500
Cu 0.2009 0.6250 0.2500
Cu 0.8750 0.7991 0.7500
W 0.7500 0.2500 0.5000
W 0.0000 0.0000 0.0000
B 0.5000 0.5000 0.0000
B 0.2500 0.7500 0.5000

Results
Space-group type ... I-42d
ΔH_f (0 K) ... 55 kJ per mole of atoms
Total magnetic moment ... 0.00 μB per cell
Density of states at the Fermi level ... 2.837 states/eV/f.u.
Crystal system ... tetragonal

No. 19
Y2CuB | GGA-PBE | relaxed

Unit cell a=5.8110 b=5.8110 c=7.6199 alpha=67.59 beta=67.59 gamma=90.00
Element x y z (fractional)
Y 0.8750 0.8189 0.7500
Y 0.1811 0.6250 0.2500
Y 0.5689 0.1250 0.2500
Y 0.3750 0.4311 0.7500
Cu 0.0000 0.0000 0.0000
Cu 0.7500 0.2500 0.5000
B 0.2500 0.7500 0.5000
B 0.5000 0.5000 0.0000

Results
Space-group type ... I-42d
ΔH_f (0 K) ... 52 kJ per mole of atoms
Total magnetic moment ... 0.00 μB per cell
Density of states at the Fermi level ... 1.160 states/eV/f.u.
Crystal system ... tetragonal

No. 20
Y2Cu2B | GGA-PBE | relaxed

Unit cell a=7.3822 b=7.3822 c=3.7950 alpha=90.00 beta=90.00 gamma=90.00
Element x y z (fractional)
Cu 0.1159 0.6159 0.5000
Cu 0.8841 0.3841 0.5000
Cu 0.6159 0.8841 0.5000
Cu 0.3841 0.1159 0.5000
B 0.0000 0.0000 0.0000
B 0.5000 0.5000 0.0000
Y 0.3189 0.8189 0.0000
Y 0.8189 0.6811 0.0000
Y 0.6811 0.1811 0.0000
Y 0.1811 0.3189 0.0000

Results
Space-group type ... P4/mbm
ΔH_f (0 K) ... 39 kJ per mole of atoms
Total magnetic moment ... 0.00 μB per cell
Density of states at the Fermi level ... 6.953 states/eV/f.u.
Crystal system ... tetragonal

No. 21
YCuB2 | GGA-PBE | relaxed

Unit cell a=3.9632 b=3.9632 c=7.4961 alpha=74.67 beta=74.67 gamma=90.00
Element x y z (fractional)
B 0.3750 0.6250 0.2500
B 0.3750 0.6250 0.7500
B 0.8750 0.6250 0.7500
B 0.3750 0.1250 0.2500
Y 0.0000 0.0000 0.0000
Y 0.7500 0.2500 0.5000
Cu 0.2500 0.7500 0.5000
Cu 0.5000 0.5000 0.0000

Results
Space-group type ... I4_1/amd
ΔH_f (0 K) ... 0 kJ per mole of atoms
Total magnetic moment ... 0.00 μB per cell
Density of states at the Fermi level ... 1.073 states/eV/f.u.
Crystal system ... tetragonal

No. 22
YCu2B | GGA-PBE | relaxed

Unit cell a=4.4510 b=4.4510 c=7.5482 alpha=72.85 beta=72.85 gamma=90.00
Element x y z (fractional)
Cu 0.3754 0.6250 0.2500
Cu 0.3750 0.6254 0.7500
Cu 0.3746 0.1250 0.2500
Cu 0.8750 0.6246 0.7500
B 0.2500 0.7500 0.5000
B 0.5000 0.5000 0.0000
Y 0.0000 0.0000 0.0000
Y 0.7500 0.2500 0.5000

Results
Space-group type ... I4_1/amd
ΔH_f (0 K) ... 10 kJ per mole of atoms
Total magnetic moment ... 0.00 μB per cell
Density of states at the Fermi level ... 1.690 states/eV/f.u.
Crystal system ... tetragonal

No. 23
YCuB2 | GGA-PBE | relaxed

Unit cell a=4.1681 b=4.1681 c=4.1681 alpha=60.00 beta=60.00 gamma=60.00
Element x y z (fractional)
B 0.7500 0.7500 0.7500
B 0.2500 0.2500 0.2500
Y 0.5000 0.5000 0.5000
Cu 0.0000 0.0000 0.0000

Results
Space-group type ... Fm-3m
ΔH_f (0 K) ... 51 kJ per mole of atoms
Total magnetic moment ... 0.00 μB per cell
Density of states at the Fermi level ... 0.834 states/eV/f.u.
Crystal system ... cubic

No. 24
Y3CuB | GGA-PBE | relaxed

Unit cell a=5.0034 b=5.0034 c=5.0034 alpha=90.00 beta=90.00 gamma=90.00
Element x y z (fractional)
Cu 0.5000 0.5000 0.5000
Y 0.0000 0.5000 0.0000
Y 0.5000 0.0000 0.0000
Y 0.0000 0.0000 0.5000
B 0.0000 0.0000 0.0000

Results
Space-group type ... Pm-3m
ΔH_f (0 K) ... 11 kJ per mole of atoms
Total magnetic moment ... 0.00 μB per cell
Density of states at the Fermi level ... 6.141 states/eV/f.u.
Crystal system ... cubic

No. 25
Y2Cu2B | GGA-PBE | relaxed

Unit cell a=3.3242 b=3.3242 c=8.5738 alpha=78.82 beta=78.82 gamma=90.00
Element x y z (fractional)
Cu 0.2500 0.7500 0.5000
Cu 0.7500 0.2500 0.5000
B 0.0000 0.0000 0.0000
Y 0.5940 0.5940 0.8120
Y 0.4060 0.4060 0.1880

Results
Space-group type ... I4/mmm
ΔH_f (0 K) ... 11 kJ per mole of atoms
Total magnetic moment ... 0.00 μB per cell
Density of states at the Fermi level ... 3.719 states/eV/f.u.
Crystal system ... tetragonal

No. 26
Zn3CuB | GGA-PBE | relaxed

Unit cell a=4.5475 b=4.5475 c=4.5475 alpha=90.00 beta=90.00 gamma=90.00
Element x y z (fractional)
B 0.5000 0.5000 0.5000
Zn 0.0000 0.0000 0.5000
Zn 0.5000 0.0000 0.0000
Zn 0.0000 0.5000 0.0000
Cu 0.0000 0.0000 0.0000

Results
Space-group type ... Pm-3m
ΔH_f (0 K) ... 106 kJ per mole of atoms
Total magnetic moment ... 0.00 μB per cell
Density of states at the Fermi level ... 1.950 states/eV/f.u.
Crystal system ... cubic